{"formula": "LiLa2MoS", "functional": "GGA-PBE", "state": "relaxed", "dos_at_fermi_per_ev_cell": 4.2, "spacegroup": "P4/mmm", "e_form_raw_kj_per_mol_atoms": -0.63, "lattice": [[5.631, 0.000, 0.000], [0.000, 4.636, 0.000], [0.000, 0.000, 5.631]], "species": ["La", "La", "Li", "Mo", "S"], "frac_coords": [[0.000, 0.000, 0.500], [0.500, 0.000, 0.000], [0.500, 0.500, 0.500], [0.000, 0.000, 0.000], [0.000, 0.500, 0.000]]}

***

{"formula": "KBa3Re2O9", "functional": "GGA-PBE", "state": "relaxed", "dos_at_fermi_per_ev_cell": 6.8, "spacegroup": "P-3m1", "e_form_raw_kj_per_mol_atoms": -205.25, "lattice": [[-0.474, 5.678, -1.565], [-4.503, -2.704, 2.707], [2.867, 2.143, 6.908]], "species": ["O", "O", "O", "O", "O", "O", "O", "O", "O", "Ba", "Ba", "Ba", "Re", "Re", "K"], "frac_coords": [[0.500, 0.000, 0.000], [0.500, 0.500, 0.000], [0.181, 0.819, 0.284], [0.819, 0.181, 0.716], [0.181, 0.361, 0.284], [0.361, 0.181, 0.716], [0.639, 0.819, 0.284], [0.000, 0.500, 0.000], [0.819, 0.639, 0.716], [0.000, 0.000, 0.000], [0.333, 0.667, 0.691], [0.667, 0.333, 0.309], [0.333, 0.667, 0.149], [0.667, 0.333, 0.851], [0.000, 0.000, 0.500]]}

***

Taking the records one at a time from the top gives calculated volume values of 147; 235 Å³ per cell.